# GGA-PBE Tb5Tm2Tl, relaxed
# **ΔE_f**: -0.3 eV per formula unit
# **Offset from the most stable computed form**: 0.000 eV per atom
data_Tb5Tm2Tl
_symmetry_space_group_name_H-M 'I 4/m m m'
_symmetry_Int_Tables_number 139
_symmetry_space_group_name_Hall '-I 4 2'
_cell_length_a 7.056
_cell_length_b 7.056
_cell_length_c 9.745
_cell_angle_alpha 90.00
_cell_angle_beta 90.00
_cell_angle_gamma 90.00
loop_
_atom_site_label
_atom_site_type_symbol
_atom_site_fract_x
_atom_site_fract_y
_atom_site_fract_z
Tb1 Tb 0.000 0.000 0.000
Tb2 Tb 0.250 0.250 0.250
Tm1 Tm 0.000 0.500 0.000
Tl1 Tl 0.000 0.000 0.500